Density functional theory data (GGA-PBE) for an optimized crystal structure of Dy4Y2Sc3.

Properties
Fermi-level density of states ... 27.9 states/eV per cell
Total DFT energy (no corrections) ... -5.564 eV per atom
Volume ... 29.26 A^3/atom
Formation enthalpy at 0 K ... 0.029 eV per atom

Lattice parameters (Å, degrees): 18.1057 3.4954 9.2448 90.00 115.83 90.00
Closest atoms and distances in Å follow each position.
Space group C2/m (No. 12)
Symmetry-distinct sites (fractional):
Dy  0.0194  0.0000  0.3368 x4  5 Dy 3.38-3.50, 6 Sc 3.39-3.50, 1 Y 3.39
Dy  0.1863  0.5000  0.3332 x4  4 Sc 3.42-3.46, 6 Dy 3.42-3.50, 2 Y 3.47
Y  0.1643  0.0000  0.9929 x4  3 Dy 3.39-3.47, 5 Sc 3.41-3.50, 4 Y 3.50-3.51
Sc  0.0000  0.5000  0.0000 x2  6 Dy 3.44-3.45, 4 Y 3.48, 2 Sc 3.50
Sc  0.1479  0.5000  0.6636 x4  7 Dy 3.39-3.50, 3 Y 3.41-3.50, 2 Sc 3.50

Density functional theory data (GGA-PBE) for an optimized crystal structure of Zr2OsPb.

Properties
Fermi-level density of states ... 2.2 states/eV per cell
Total DFT energy (no corrections) ... -7.959 eV per atom
Volume ... 21.20 A^3/atom
Formation enthalpy at 0 K ... 0.050 eV per atom

Lattice parameters (Å, degrees): 3.3335 3.3335 7.6312 90.00 90.00 90.00
Closest atoms and distances in Å follow each position.
Space group P4mm (No. 99)
Symmetry-distinct sites (fractional):
Zr  0.0000  0.0000  0.0000 x1  8 Zr 3.20-3.33, 4 Pb 3.20
Zr  0.5000  0.5000  0.2839 x1  4 Os 2.78
Os  0.0000  0.0000  0.4779 x1  4 Zr 2.78, 4 Pb 2.97
Pb  0.5000  0.5000  0.7158 x1  4 Os 2.97, 5 Zr 3.20-3.30

Density functional theory data (GGA-PBE) for an optimized crystal structure of Pm4TlGe.

Properties
Fermi-level density of states ... 11.2 states/eV per cell
Total DFT energy (no corrections) ... -4.757 eV per atom
Polymorph energy (0 for the lowest one) ... 0.000 eV per atom
Volume ... 29.86 A^3/atom
Formation enthalpy at 0 K ... -0.426 eV per atom

Lattice parameters (Å, degrees): 6.0750 6.8118 8.7313 90.00 97.35 90.00
Closest atoms and distances in Å follow each position.
Space group P2_1/m (No. 11)
Symmetry-distinct sites (fractional):
Pm  0.1415  0.0097  0.2590 x4  2 Ge 3.05-3.09, 1 Pm 3.27, 1 Tl 3.34
Pm  0.3498  0.2500  0.6462 x2  1 Ge 3.11, 3 Tl 3.23-3.48
Pm  0.3525  0.7500  0.9491 x2  2 Ge 2.96-3.31, 1 Tl 3.18
Tl  0.2706  0.7500  0.5819 x2  8 Pm 3.18-3.48
Ge  0.1603  0.2500  0.9612 x2  7 Pm 2.96-3.31

Density functional theory data (GGA-PBE) for an optimized crystal structure of AcEuAsPd.

Properties
Total DFT energy (no corrections) ... -6.979 eV per atom
Volume ... 26.68 A^3/atom
Formation enthalpy at 0 K ... -0.923 eV per atom

Lattice parameters (Å, degrees): 7.5293 7.5293 7.5293 90.00 90.00 90.00
Closest atoms and distances in Å follow each position.
Space group F-43m (No. 216)
Symmetry-distinct sites (fractional):
Ac  0.0000  0.0000  0.0000 x4  4 Pd 3.26, 4 As 3.26
Eu  0.0000  0.0000  0.5000 x4  4 As 3.26, 4 Pd 3.26
As  0.2500  0.2500  0.7500 x4  4 Ac 3.26, 4 Eu 3.26
Pd  0.2500  0.2500  0.2500 x4  4 Eu 3.26, 4 Ac 3.26

Density functional theory data (GGA-PBE) for an optimized crystal structure of La2USiRu4.

Properties
Fermi-level density of states ... 28.5 states/eV per cell
E_form (uncorrected) ... -0.347 eV/atom
Total DFT energy (no corrections) ... -8.305 eV per atom
Volume ... 20.86 A^3/atom

Lattice parameters (Å, degrees): 5.8666 12.6289 18.0169 90.00 90.00 90.00
Closest atoms and distances in Å follow each position.
Space group Fddd (No. 70, origin choice 2)
Symmetry-distinct sites (fractional):
La  0.1250  0.1250  0.2991 x16  6 Ru 2.92-3.24, 1 Si 3.14
U  0.1250  0.1250  0.6250 x8  4 Ru 2.52
Si  0.1250  0.1250  0.1250 x8  4 Ru 2.44
Ru  0.1129  0.0055  0.8125 x32  1 Si 2.44, 1 U 2.52

Density functional theory data (GGA-PBE) for an optimized crystal structure of InSnCl3.

Properties
Fermi-level density of states ... 0.0 states/eV per cell
E_form (uncorrected) ... -0.929 eV/atom
Total DFT energy (no corrections) ... -3.386 eV per atom
Volume ... 33.13 A^3/atom

Lattice parameters (Å, degrees): 15.4686 5.6298 7.6430 90.00 95.38 90.00
Closest atoms and distances in Å follow each position.
Space group C2/m (No. 12)
Symmetry-distinct sites (fractional):
In  0.1184  0.0000  0.4975 x4  4 Cl 3.02-3.20
Sn  0.1335  0.5000  0.9362 x4  4 Cl 2.58-2.83
Cl  0.0163  0.5000  0.2425 x4  1 Sn 2.58
Cl  0.1463  0.0000  0.9046 x4  2 Sn 2.83, 1 In 3.10
Cl  0.2008  0.5000  0.6221 x4  1 Sn 2.71, 1 In 3.02

Density functional theory data (GGA-PBE) for an optimized crystal structure of YHf2Rh.

Properties
Fermi-level density of states ... 22.8 states/eV per cell
Total DFT energy (no corrections) ... -8.472 eV per atom
Polymorph energy (0 for the lowest one) ... 0.107 eV per atom
Volume ... 20.29 A^3/atom
Formation enthalpy at 0 K ... -0.042 eV per atom

Lattice parameters (Å, degrees): 6.8731 6.8731 6.8731 90.00 90.00 90.00
Closest atoms and distances in Å follow each position.
Space group Fm-3m (No. 225)
Symmetry-distinct sites (fractional):
Y  0.0000  0.0000  0.0000 x4  8 Hf 2.98
Hf  0.2500  0.2500  0.2500 x8  4 Rh 2.98, 4 Y 2.98
Rh  0.0000  0.0000  0.5000 x4  8 Hf 2.98

Density functional theory data (GGA-PBE) for an optimized crystal structure of TbMnCo.

Properties
Fermi-level density of states ... 4.6 states/eV per cell
Total DFT energy (no corrections) ... -6.950 eV per atom
Volume ... 18.05 A^3/atom
Formation enthalpy at 0 K ... 0.018 eV per atom

Lattice parameters (Å, degrees): 3.8753 3.8753 4.1645 90.00 90.00 120.00
Closest atoms and distances in Å follow each position.
Space group P-6m2 (No. 187)
Symmetry-distinct sites (fractional):
Tb  0.0000  0.0000  0.0000 x1  6 Co 3.06, 6 Mn 3.06
Mn  0.3333  0.6667  0.5000 x1  3 Co 2.24
Co  0.6667  0.3333  0.5000 x1  3 Mn 2.24

Copy entry 5 word for word.
Density functional theory data (GGA-PBE) for an optimized crystal structure of La2USiRu4.

Properties
Fermi-level density of states ... 28.5 states/eV per cell
E_form (uncorrected) ... -0.347 eV/atom
Total DFT energy (no corrections) ... -8.305 eV per atom
Volume ... 20.86 A^3/atom

Lattice parameters (Å, degrees): 5.8666 12.6289 18.0169 90.00 90.00 90.00
Closest atoms and distances in Å follow each position.
Space group Fddd (No. 70, origin choice 2)
Symmetry-distinct sites (fractional):
La  0.1250  0.1250  0.2991 x16  6 Ru 2.92-3.24, 1 Si 3.14
U  0.1250  0.1250  0.6250 x8  4 Ru 2.52
Si  0.1250  0.1250  0.1250 x8  4 Ru 2.44
Ru  0.1129  0.0055  0.8125 x32  1 Si 2.44, 1 U 2.52

Which of these has the lowest total DFT energy (no corrections)?
YHf2Rh

The lowest total DFT energy (no corrections) belongs to which entry?
YHf2Rh